# 1
A relaxed structure of LiBiOF2, computed with PBE-GGA.

It has space group P4/mmm (No. 123), with a = 4.629 Å, b = 4.629 Å, c = 4.495 Å, α = 90.00°, β = 90.00° and γ = 90.00°. The distinct sites, in fractional coordinates, are Li at (0.000, 0.000, 0.000), Bi at (0.500, 0.500, 0.500), O at (0.500, 0.500, 0.000) and F at (0.000, 0.500, 0.500).

The crystal system is tetragonal. The calculation puts the energy above the most stable polymorph in this dataset at 464 meV/atom. The volume comes out at 96.3 Å³/f.u.

---

# 2
A relaxed structure of LiBiOF2, computed with PBE-GGA.

It has space group P4/nmm (No. 129, origin choice 2), with a = 3.739 Å, b = 3.739 Å, c = 9.890 Å, α = 90.00°, β = 90.00° and γ = 90.00°. The distinct sites, in fractional coordinates, are Li at (0.250, 0.250, 0.088), Bi at (0.250, 0.250, 0.634), O at (0.250, 0.750, 0.500), F at (0.250, 0.250, 0.276) and F at (0.250, 0.250, 0.904).

The crystal system is tetragonal. The calculation puts the energy above the most stable polymorph in this dataset at 0 meV/atom. The volume comes out at 69.1 Å³/f.u.

---

# 3
A relaxed structure of LiBiOF2, computed with PBE-GGA.

It has space group P4/mmm (No. 123), with a = 3.621 Å, b = 3.621 Å, c = 4.195 Å, α = 90.00°, β = 90.00° and γ = 90.00°. The distinct sites, in fractional coordinates, are Li at (0.000, 0.000, 0.000), Bi at (0.500, 0.500, 0.500), O at (0.000, 0.000, 0.500) and F at (0.000, 0.500, 0.000).

The crystal system is tetragonal. The calculation puts the energy above the most stable polymorph in this dataset at 227 meV/atom. The volume comes out at 55.0 Å³/f.u.

---

# 4
A relaxed structure of LiBiPbF6, computed with PBE-GGA.

It has space group P-31c (No. 163), with a = 5.7207 Å, b = 5.7207 Å, c = 10.6600 Å, α = 90.00°, β = 90.00° and γ = 120.00°. The distinct sites, in fractional coordinates, are Li at (0.3333, 0.6667, 0.2500), Bi at (0.3333, 0.6667, 0.7500), Pb at (0.0000, 0.0000, 0.0000) and F at (0.0226, 0.3638, 0.1389).

The crystal system is trigonal. The volume comes out at 151.1 Å³/f.u.

---

# 5
A relaxed structure of Rb2LiBiF, computed with PBE-GGA.

It has space group P4/mmm (No. 123), with a = 6.457 Å, b = 6.457 Å, c = 3.806 Å, α = 90.00°, β = 90.00° and γ = 90.00°. The distinct sites, in fractional coordinates, are Rb at (0.000, 0.500, 0.000), Li at (0.000, 0.000, 0.500), Bi at (0.500, 0.500, 0.500) and F at (0.000, 0.000, 0.000).

The crystal system is tetragonal. The volume comes out at 158.7 Å³/f.u.

---

# 6
A relaxed structure of RbLiBiF6, computed with PBE-GGA.

It has space group P-31c (No. 163), with a = 5.6800 Å, b = 5.6800 Å, c = 12.1930 Å, α = 90.00°, β = 90.00° and γ = 120.00°. The distinct sites, in fractional coordinates, are Rb at (0.0000, 0.0000, 0.0000), Li at (0.3333, 0.6667, 0.2500), Bi at (0.3333, 0.6667, 0.7500) and F at (0.0091, 0.3865, 0.1522).

The crystal system is trigonal. The volume comes out at 170.3 Å³/f.u.

---

# 7
A relaxed structure of RbLi2BiF8, computed with PBE-GGA.

It has space group P-1 (No. 2), with a = 5.044 Å, b = 5.123 Å, c = 8.029 Å, α = 86.79°, β = 86.77° and γ = 74.69°. The distinct sites, in fractional coordinates, are Rb at (0.000, 0.000, 0.000), Li at (0.499, 0.499, 0.165), Bi at (0.000, 0.000, 0.500), F at (0.222, 0.760, 0.688), F at (0.241, 0.778, 0.312), F at (0.253, 0.248, 0.495) and F at (0.343, 0.335, 0.011).

The crystal system is triclinic. The volume comes out at 199.6 Å³/f.u.

---

# 8
A relaxed structure of LiSc2BiF, computed with PBE-GGA.

It has space group P4/mmm (No. 123), with a = 4.335 Å, b = 4.335 Å, c = 5.689 Å, α = 90.00°, β = 90.00° and γ = 90.00°. The distinct sites, in fractional coordinates, are Li at (0.000, 0.000, 0.000), Sc at (0.000, 0.500, 0.500), Bi at (0.500, 0.500, 0.000) and F at (0.500, 0.500, 0.500).

The crystal system is tetragonal. The volume comes out at 106.9 Å³/f.u.

---

# 9
A relaxed structure of LiSiBi2F, computed with PBE-GGA.

It has space group P4/mmm (No. 123), with a = 5.357 Å, b = 5.357 Å, c = 4.831 Å, α = 90.00°, β = 90.00° and γ = 90.00°. The distinct sites, in fractional coordinates, are Li at (0.000, 0.000, 0.000), Si at (0.000, 0.000, 0.500), Bi at (0.000, 0.500, 0.500) and F at (0.500, 0.500, 0.000).

The crystal system is tetragonal. The volume comes out at 138.6 Å³/f.u.

---

# 10
A relaxed structure of LiSnBiF6, computed with PBE-GGA.

It has space group P312 (No. 149), with a = 5.6861 Å, b = 5.6861 Å, c = 5.2705 Å, α = 90.00°, β = 90.00° and γ = 120.00°. The distinct sites, in fractional coordinates, are Li at (0.0000, 0.0000, 0.0000), Sn at (0.3333, 0.6667, 0.5000), Bi at (0.6667, 0.3333, 0.0000) and F at (0.3122, 0.0024, 0.2259).

The crystal system is trigonal. The volume comes out at 147.6 Å³/f.u.

---

# 11
A relaxed structure of SrLiBiF6, computed with PBE-GGA.

It has space group P312 (No. 149), with a = 5.6587 Å, b = 5.6587 Å, c = 5.3790 Å, α = 90.00°, β = 90.00° and γ = 120.00°. The distinct sites, in fractional coordinates, are Sr at (0.0000, 0.0000, 0.0000), Li at (0.6667, 0.3333, 0.5000), Bi at (0.3333, 0.6667, 0.5000) and F at (0.3587, 0.0208, 0.7240).

The crystal system is trigonal. The volume comes out at 149.2 Å³/f.u.

---

# 12
A relaxed structure of SrLi2BiF8, computed with PBE-GGA.

It has space group I-4 (No. 82), with a = 5.359 Å, b = 5.359 Å, c = 11.333 Å, α = 90.00°, β = 90.00° and γ = 90.00°. The distinct sites, in fractional coordinates, are Sr at (0.000, 0.000, 0.000), Li at (0.000, 0.000, 0.500), Li at (0.000, 0.500, 0.250), Bi at (0.000, 0.500, 0.750), F at (0.142, 0.278, 0.589) and F at (0.177, 0.778, 0.179).

The crystal system is tetragonal. The volume comes out at 162.7 Å³/f.u.

---

The calculation returns the following energy relative to the elements, uncorrected values, one per record and in order: -1.724; -2.188; -1.961; -2.512; -1.185; -2.477; -2.343; -0.901; 0.026; -2.452; -3.019; -2.847 eV/atom.